Entry 1:
Computed, not measured: a geometry-optimized MnNbTl3 structure at the GGA-PBE level of DFT.

```
MnNbTl3
1.0
5.4351 0.0000 0.0000
0.0000 5.4351 0.0000
0.0000 0.0000 5.4351
Mn Tl Nb
1 3 1
Direct
0.5000 0.5000 0.5000
0.5000 0.0000 0.0000
0.0000 0.0000 0.5000
0.0000 0.5000 0.0000
0.0000 0.0000 0.0000
```

Results
electronic total energy = -3.685 eV per atom
space-group type = No. 221
size of the total moment = 0.8 μB per cell

Entry 2:
Computed, not measured: a geometry-optimized MnNb3Tl structure at the GGA-PBE level of DFT.

```
MnNb3Tl
1.0
-0.1956 -4.3385 1.6602
2.1994 -1.5501 -3.7918
4.0917 0.6258 2.1175
Nb Mn Tl
3 1 1
Direct
0.0000 0.0000 0.5000
0.0000 0.5000 0.0000
0.5000 0.0000 0.0000
0.0000 0.0000 0.0000
0.5000 0.5000 0.5000
```

Results
electronic total energy = -7.724 eV per atom
space-group type = No. 221
size of the total moment = 0.0 μB per cell

Entry 3:
Computed, not measured: a geometry-optimized MnNb2Tl structure at the GGA-PBE level of DFT.

```
MnNb2Tl
1.0
-1.7994 -4.3065 0.2570
-2.3076 -1.3436 3.8366
-4.6318 -0.6105 -0.1522
Mn Nb Tl
1 2 1
Direct
0.0000 0.0000 0.0000
0.2500 0.2500 0.2500
0.7500 0.7500 0.7500
0.5000 0.5000 0.5000
```

Results
electronic total energy = -7.418 eV per atom
space-group type = No. 225
size of the total moment = 1.6 μB per cell

Entry 4:
Computed, not measured: a geometry-optimized Mn3NbTl structure at the GGA-PBE level of DFT.

```
Mn3NbTl
1.0
-3.5347 0.9778 -3.3176
-1.2142 -4.7925 -0.1189
-3.2386 0.7295 3.6655
Tl Mn Nb
1 3 1
Direct
0.0000 0.0000 0.0000
0.0000 0.5000 0.0000
0.5000 0.0000 0.0000
0.0000 0.0000 0.5000
0.5000 0.5000 0.5000
```

Results
electronic total energy = -6.352 eV per atom
space-group type = No. 221
size of the total moment = 8.8 μB per cell

Entry 5:
Computed, not measured: a geometry-optimized MnNbTl3 structure at the GGA-PBE level of DFT.

```
MnNbTl3
1.0
-0.5091 -4.9371 0.5249
4.0609 -0.7176 -2.8114
2.8566 0.1403 4.0903
Tl Mn Nb
3 1 1
Direct
0.0000 0.5000 0.0000
0.5000 0.0000 0.0000
0.0000 0.0000 0.5000
0.0000 0.0000 0.0000
0.5000 0.5000 0.5000
```

Results
electronic total energy = -3.941 eV per atom
space-group type = No. 221
size of the total moment = 0.0 μB per cell

Entry 6:
Computed, not measured: a geometry-optimized MnNb2Tl structure at the GGA-PBE level of DFT.

```
MnNb2Tl
1.0
-6.8680 0.9890 2.5789
-1.0200 -7.3313 0.0952
-2.9944 -3.2699 3.9039
Nb Tl Mn
4 2 2
Direct
0.5634 0.1250 0.2500
0.1866 0.6250 0.2500
0.8750 0.8134 0.7500
0.3750 0.4366 0.7500
0.0000 0.0000 0.0000
0.7500 0.2500 0.5000
0.5000 0.5000 0.0000
0.2500 0.7500 0.5000
```

Results
electronic total energy = -7.332 eV per atom
space-group type = No. 122
size of the total moment = 0.0 μB per cell

Entry 7:
Computed, not measured: a geometry-optimized Mn3NbTl structure at the GGA-PBE level of DFT.

```
Mn3NbTl
1.0
4.8069 0.0000 0.0000
0.0000 4.8069 0.0000
0.0000 0.0000 4.8069
Mn Nb Tl
3 1 1
Direct
0.0000 0.0000 0.5000
0.5000 0.0000 0.0000
0.0000 0.5000 0.0000
0.0000 0.0000 0.0000
0.5000 0.5000 0.5000
```

Results
electronic total energy = -6.779 eV per atom
space-group type = No. 221
size of the total moment = 8.9 μB per cell

Entry 8:
Computed, not measured: a geometry-optimized Mn2NbTl structure at the GGA-PBE level of DFT.

```
Mn2NbTl
1.0
-1.7390 -6.9706 0.8132
5.0877 -0.6751 5.0926
-0.2198 -3.1187 4.9386
Tl Mn Nb
2 4 2
Direct
0.0000 0.0000 0.0000
0.7500 0.2500 0.5000
0.1507 0.6250 0.2500
0.5993 0.1250 0.2500
0.3750 0.4007 0.7500
0.8750 0.8493 0.7500
0.2500 0.7500 0.5000
0.5000 0.5000 0.0000
```

Results
electronic total energy = -6.923 eV per atom
space-group type = No. 122
size of the total moment = 9.7 μB per cell

Entry 9:
Computed, not measured: a geometry-optimized Mn4Nb2Tl structure at the GGA-PBE level of DFT.

```
Mn4Nb2Tl
1.0
4.8305 0.0000 0.0000
0.0000 4.8305 0.0000
2.4153 2.4153 6.6570
Mn Tl Nb
4 1 2
Direct
0.0000 0.5000 0.0000
0.5000 0.0000 0.0000
0.2048 0.2048 0.5904
0.7952 0.7952 0.4096
0.0000 0.0000 0.0000
0.6065 0.6065 0.7870
0.3935 0.3935 0.2130
```

Results
electronic total energy = -7.052 eV per atom
space-group type = No. 139
size of the total moment = 10.5 μB per cell

Entry 10:
Computed, not measured: a geometry-optimized Mn2NbTl structure at the GGA-PBE level of DFT.

```
Mn2NbTl
1.0
0.0000 3.2204 3.2204
3.2204 0.0000 3.2204
3.2204 3.2204 0.0000
Tl Nb Mn
1 1 2
Direct
0.5000 0.5000 0.5000
0.0000 0.0000 0.0000
0.2500 0.2500 0.2500
0.7500 0.7500 0.7500
```

Results
electronic total energy = -7.392 eV per atom
space-group type = No. 225
size of the total moment = 5.1 μB per cell

Entry 11:
Computed, not measured: a geometry-optimized MnNb2TlZn structure at the GGA-PBE level of DFT.

```
MnNb2TlZn
1.0
4.7593 0.0000 0.0000
0.0000 4.6857 0.0000
0.0000 0.0000 4.7593
Tl Mn Nb Zn
1 1 2 1
Direct
0.0000 0.5000 0.0000
0.5000 0.5000 0.5000
0.5000 0.0000 0.0000
0.0000 0.0000 0.5000
0.0000 0.0000 0.0000
```

Results
electronic total energy = -4.922 eV per atom
space-group type = No. 123
size of the total moment = 0.5 μB per cell

Entry 12:
Computed, not measured: a geometry-optimized TmMnNb structure at the GGA-PBE level of DFT.

```
TmMnNb
1.0
-2.9019 -1.7839 3.7033
0.3404 -3.2608 -3.8170
5.1913 0.4898 2.1419
Tm Mn Nb
2 2 2
Direct
0.6789 0.3211 0.0000
0.3211 0.6789 0.0000
0.7500 0.2500 0.5000
0.2500 0.7500 0.5000
0.1761 0.1761 0.3522
0.8239 0.8239 0.6478
```

Results
electronic total energy = -7.769 eV per atom
space-group type = No. 69
size of the total moment = 1.9 μB per cell

Entry 13:
Computed, not measured: a geometry-optimized TmMnNb structure at the GGA-PBE level of DFT.

```
TmMnNb
1.0
-1.0071 2.7065 -1.4086
1.0851 -1.0687 -2.8291
-4.8001 -3.0937 1.1520
Nb Tm Mn
1 1 1
Direct
0.3029 0.3029 0.6058
0.0094 0.0094 0.0189
0.6877 0.6877 0.3754
```

Results
electronic total energy = -7.764 eV per atom
space-group type = No. 107
size of the total moment = 0.0 μB per cell

Entry 14:
Computed, not measured: a geometry-optimized TmMn2Nb structure at the GGA-PBE level of DFT.

```
TmMn2Nb
1.0
-0.7414 1.7064 2.5646
0.9329 -2.3896 1.8596
6.1028 2.4744 0.1180
Mn Nb Tm
2 1 1
Direct
0.0000 0.0000 0.2130
0.0000 0.0000 0.7870
0.5000 0.5000 0.0000
0.5000 0.5000 0.5000
```

Results
electronic total energy = -8.115 eV per atom
space-group type = No. 123
size of the total moment = 1.7 μB per cell